# Be3Ag2, relaxed, DFT PBE
data_Be3Ag2
_chemical_formula_sum 'Be3 Ag2'
_cell_length_a 3.9797
_cell_length_b 3.9797
_cell_length_c 4.9767
_cell_angle_alpha 90.00
_cell_angle_beta 90.00
_cell_angle_gamma 120.00
_space_group_name_H-M_alt 'P -3 m 1'
_space_group_IT_number 164
_space_group_name_Hall '-P 3 2"'
loop_
_atom_site_label
_atom_site_fract_x
_atom_site_fract_y
_atom_site_fract_z
Be1 0.0000 0.0000 0.0000
Be2 0.3333 0.6667 0.3611
Ag1 0.3333 0.6667 0.8324
# Energy above the lowest structure with this stoichiometry ... 232 meV per atom
# DFT formation energy ... 0.40 eV/atom
# Magnetization ... 0.0 μB per formula unit
# DFT total energy ... -2.978 eV/atom
# DOS(E_F) ... 0.36 states/eV/atom